Version 1
A plane-wave DFT calculation with PBE-GGA was carried out for a geometry-optimized TiAl2Tc2 structure.

a = 6.828 Å, b = 6.828 Å, c = 3.310 Å
α = 90.00°, β = 90.00°, γ = 90.00°
Last column: magnetic moment on the atom in μB.
Fractional positions:
Al 0.141 0.641 0.500  0.00
Al 0.641 0.859 0.500  0.00
Al 0.859 0.359 0.500  0.00
Al 0.359 0.141 0.500  0.00
Tc 0.342 0.842 0.000  0.02
Tc 0.842 0.658 0.000  0.01
Tc 0.658 0.158 0.000  0.02
Tc 0.158 0.342 0.000  0.01
Ti 0.000 0.000 0.000  0.13
Ti 0.500 0.500 0.000  0.13

---

Version 2
A plane-wave DFT calculation with PBE-GGA was carried out for a geometry-optimized TiAl2Tc2 structure.

a = 9.139 Å, b = 4.614 Å, c = 5.877 Å
α = 79.96°, β = 141.04°, γ = 90.00°
Fractional positions:
Ti 0.617 0.750 0.000
Ti 0.383 0.250 0.000
Al 0.020 0.547 0.796
Al 0.225 0.953 0.204
Al 0.980 0.453 0.204
Al 0.775 0.047 0.796
Tc 0.839 0.134 0.422
Tc 0.583 0.634 0.422
Tc 0.161 0.866 0.578
Tc 0.417 0.366 0.578

---

Version 3
A plane-wave DFT calculation with PBE-GGA was carried out for a geometry-optimized TiAl2Tc2 structure.

a = 6.874 Å, b = 6.874 Å, c = 3.164 Å
α = 90.00°, β = 90.00°, γ = 90.00°
Fractional positions:
Al 0.370 0.870 0.000
Al 0.870 0.630 0.000
Al 0.630 0.130 0.000
Al 0.130 0.370 0.000
Tc 0.169 0.669 0.500
Tc 0.669 0.831 0.500
Tc 0.831 0.331 0.500
Tc 0.331 0.169 0.500
Ti 0.000 0.000 0.000
Ti 0.500 0.500 0.000

---

Pick version 2: it beats the second-best structure by 49 meV/atom.

---

Version 1
A plane-wave DFT calculation with PBE-GGA was carried out for a geometry-optimized TiAl3Tc structure.

a = 4.772 Å, b = 5.172 Å, c = 6.746 Å
α = 90.00°, β = 108.34°, γ = 90.00°
Fractional positions:
Ti 0.125 0.750 0.030
Ti 0.875 0.250 0.970
Al 0.195 0.001 0.395
Al 0.805 0.501 0.605
Al 0.805 0.999 0.605
Al 0.195 0.499 0.395
Al 0.479 0.250 0.170
Al 0.521 0.750 0.830
Tc 0.311 0.250 0.752
Tc 0.689 0.750 0.248

---

Version 2
A plane-wave DFT calculation with PBE-GGA was carried out for a geometry-optimized TiAl3Tc structure.

a = 4.622 Å, b = 4.622 Å, c = 4.622 Å
α = 90.00°, β = 90.00°, γ = 90.00°
Fractional positions:
Al 0.000 0.500 0.000
Al 0.000 0.000 0.500
Al 0.500 0.000 0.000
Tc 0.000 0.000 0.000
Ti 0.500 0.500 0.500

---

Pick version 1: it beats the second-best structure by 645 meV/atom.